(1)
# PmLuCdTc

An optimized crystal structure of PmLuCdTc (PBE-GGA, Alexandria via LeMat-Bulk).

abc: 5.056 5.056 5.056
angles: 60.00 60.00 60.00
Fractional positions:
Tc 0.250 0.250 0.250
Cd 0.750 0.750 0.750
Lu 0.000 0.000 0.000
Pm 0.500 0.500 0.500

Computed properties:
Calculated formation energy = -0.059 eV/atom
Calculated total energy = -5.197 eV/atom
Density = 9.638 g cm⁻³
DOS at the Fermi energy = 2.88 states/eV/f.u.

***

(2)
# Cd2SeN

An optimized crystal structure of Cd2SeN (PBE-GGA, Alexandria via LeMat-Bulk).

abc: 4.690 4.690 4.690
angles: 60.00 60.00 60.00
Site moments in Bohr magnetons follow the coordinates.
Fractional positions:
Cd 0.250 0.250 0.250  -0.03
N 0.000 0.000 0.000  0.75
Se 0.500 0.500 0.500  0.17
Cd 0.750 0.750 0.750  -0.03

Computed properties:
Energy relative to the elements, uncorrected = 0.86 eV per atom
Calculated total energy = -2.547 eV/atom
Energy above the lowest structure with this stoichiometry = 13.74 kcal/mol of atoms
Density = 7.232 g cm⁻³
DOS at the Fermi energy = 1.78 states/eV/f.u.

***

(3)
# LaTb5Sc

An optimized crystal structure of LaTb5Sc (PBE-GGA, Alexandria via LeMat-Bulk).

abc: 9.393 15.449 6.140
angles: 37.36 40.23 24.37
Fractional positions:
Tb 0.862 0.642 0.636
Tb 0.137 0.220 0.495
Tb 0.711 0.357 0.218
Tb 0.438 0.780 0.359
La 0.997 0.930 0.076
Tb 0.570 0.071 0.783
Sc 0.285 0.500 0.932

Computed properties:
Calculated formation energy = 0.037 eV/atom
Calculated total energy = -4.878 eV/atom
Density = 7.374 g cm⁻³
DOS at the Fermi energy = 9.88 states/eV/f.u.

***

(4)
# NaTlSn2

An optimized crystal structure of NaTlSn2 (PBE-GGA, Alexandria via LeMat-Bulk).

abc: 5.419 5.419 5.419
angles: 60.00 60.00 60.00
Fractional positions:
Na 0.000 0.000 0.000
Tl 0.500 0.500 0.500
Sn 0.250 0.250 0.250
Sn 0.750 0.750 0.750

Computed properties:
Calculated formation energy = 0.008 eV/atom
Calculated total energy = -2.914 eV/atom
Energy above the lowest structure with this stoichiometry = 2.28 kcal/mol of atoms
Density = 6.860 g cm⁻³
DOS at the Fermi energy = 1.36 states/eV/f.u.

***

(5)
# CdAgHgAu2

An optimized crystal structure of CdAgHgAu2 (PBE-GGA, Alexandria via LeMat-Bulk).

abc: 5.240 5.250 5.240
angles: 90.00 90.00 90.00
Fractional positions:
Ag 0.000 0.500 0.000
Au 0.000 0.000 0.500
Au 0.500 0.000 0.000
Hg 0.000 0.000 0.000
Cd 0.500 0.500 0.500

Computed properties:
Calculated formation energy = 0.587 eV/atom
Calculated total energy = -1.538 eV/atom
Density = 9.386 g cm⁻³
DOS at the Fermi energy = 2.11 states/eV/f.u.

***

(6)
# CaTlInHg2

An optimized crystal structure of CaTlInHg2 (PBE-GGA, Alexandria via LeMat-Bulk).

abc: 4.489 6.662 10.214
angles: 90.00 90.00 109.69
Fractional positions:
Hg 0.669 0.338 0.473
Ca 0.199 0.397 0.250
In 0.000 0.000 0.500
Hg 0.669 0.338 0.027
Ca 0.801 0.603 0.750
Tl 0.528 0.057 0.750
In 0.000 0.000 0.000
Tl 0.472 0.943 0.250
Hg 0.331 0.662 0.973
Hg 0.331 0.662 0.527

Computed properties:
Calculated formation energy = -0.201 eV/atom
Calculated total energy = -1.743 eV/atom
Density = 8.781 g cm⁻³
DOS at the Fermi energy = 2.88 states/eV/f.u.

***

(7)
# Al5VRh4

An optimized crystal structure of Al5VRh4 (PBE-GGA, Alexandria via LeMat-Bulk).

abc: 2.966 2.966 15.624
angles: 90.00 90.00 90.00
Fractional positions:
Al 0.500 0.500 0.110
V 0.000 0.000 0.000
Al 0.500 0.500 0.500
Rh 0.000 0.000 0.792
Rh 0.000 0.000 0.208
Rh 0.000 0.000 0.403
Rh 0.000 0.000 0.597
Al 0.500 0.500 0.696
Al 0.500 0.500 0.890
Al 0.500 0.500 0.304

Computed properties:
Calculated formation energy = -0.894 eV/atom
Calculated total energy = -6.617 eV/atom
Density = 7.219 g cm⁻³
DOS at the Fermi energy = 3.77 states/eV/f.u.

***

(8)
# Nd3Ag4SnS8

An optimized crystal structure of Nd3Ag4SnS8 (PBE-GGA, Alexandria via LeMat-Bulk).

abc: 8.242 7.736 8.239
angles: 122.24 120.01 90.00
Fractional positions:
S 0.754 0.249 0.508
S 0.241 0.249 0.995
Nd 0.000 0.500 0.500
S 0.246 0.751 0.005
Sn 0.000 0.500 0.000
Ag 0.000 0.000 0.000
S 0.246 0.751 0.492
Ag 0.000 0.000 0.500
S 0.250 0.251 0.500
Ag 0.500 0.000 0.500
S 0.754 0.249 0.995
S 0.759 0.751 0.005
Nd 0.500 0.500 0.000
Ag 0.500 0.000 0.000
Nd 0.500 0.500 0.500
S 0.750 0.749 0.500

Computed properties:
Energy relative to the elements, uncorrected = -0.98 eV per atom
Calculated total energy = -4.904 eV/atom
Density = 5.744 g cm⁻³
DOS at the Fermi energy = 1.70 states/eV/f.u.

***

Copy entry 1 word for word.
# PmLuCdTc

An optimized crystal structure of PmLuCdTc (PBE-GGA, Alexandria via LeMat-Bulk).

abc: 5.056 5.056 5.056
angles: 60.00 60.00 60.00
Fractional positions:
Tc 0.250 0.250 0.250
Cd 0.750 0.750 0.750
Lu 0.000 0.000 0.000
Pm 0.500 0.500 0.500

Computed properties:
Calculated formation energy = -0.059 eV/atom
Calculated total energy = -5.197 eV/atom
Density = 9.638 g cm⁻³
DOS at the Fermi energy = 2.88 states/eV/f.u.

***

Question: DOS at the Fermi energy of number 6 (CaTlInHg2)?
Answer: 2.88 states/eV/f.u.